[1]
{
  "formula": "CdW2Cl",
  "functional": "GGA-PBE",
  "state": "relaxed",
  "lattice_angstrom": [[4.8361, 0.0000, 0.0000], [0.0000, 4.8361, 0.0000], [0.0000, 0.0000, 2.8978]],
  "species": ["W", "Cl", "Cd", "W"],
  "frac_coords": [[0.0000, 0.0000, 0.0000], [0.0000, 0.5000, 0.5000], [0.5000, 0.0000, 0.5000], [0.5000, 0.5000, 0.0000]],
  "de_polymorph_mev_per_atom": 1190,
  "e_form_raw_ev_per_atom": 1.420,
  "spacegroup": "P4/mmm, No. 123",
  "final_energy_ha_per_atom": -0.2112,
  "n_ef_per_ev_cell": 5.82
}

---

[2]
{
  "formula": "La2Bi2Pd",
  "functional": "GGA-PBE",
  "state": "relaxed",
  "lattice_angstrom": [[8.0594, 0.0000, 0.0000], [0.0000, 8.0594, 0.0000], [0.0000, 0.0000, 4.9571]],
  "species": ["Bi", "La", "Bi", "Bi", "Pd", "Bi", "Pd", "La", "La", "La"],
  "frac_coords": [[0.3674, 0.1326, 0.5000], [0.1776, 0.3224, 0.0000], [0.8674, 0.3674, 0.5000], [0.6326, 0.8674, 0.5000], [0.5000, 0.5000, 0.0000], [0.1326, 0.6326, 0.5000], [0.0000, 0.0000, 0.0000], [0.6776, 0.1776, 0.0000], [0.8224, 0.6776, 0.0000], [0.3224, 0.8224, 0.0000]],
  "de_polymorph_mev_per_atom": 111,
  "ef_mev_per_atom": -567,
  "spacegroup": "P4/mbm, No. 127",
  "final_energy_ha_per_atom": -0.1885,
  "n_ef_per_ev_cell": 7.99
}

---

[3]
{
  "formula": "MnFeBr2",
  "functional": "GGA-PBE",
  "state": "relaxed",
  "lattice_angstrom": [[3.5304, -0.0231, 0.0000], [-1.9378, 2.9512, 0.0000], [0.0000, 0.0000, 8.1532]],
  "species": ["Br", "Mn", "Fe", "Br"],
  "frac_coords": [[0.0000, 0.0000, 0.0080], [0.5000, 0.5000, 0.7500], [0.5000, 0.5000, 0.2500], [0.0000, 0.0000, 0.4920]],
  "de_polymorph_mev_per_atom": 467,
  "e_form_raw_ev_per_atom": 0.416,
  "spacegroup": "Cmmm, No. 65",
  "final_energy_ha_per_atom": -0.1774,
  "n_ef_per_ev_cell": 4.59
}

---

[4]
{
  "formula": "ZrOs",
  "functional": "GGA-PBE",
  "state": "relaxed",
  "lattice_angstrom": [[3.3351, 0.0000, 0.0000], [0.0000, 3.3351, 0.0000], [0.0000, 0.0000, 6.5270]],
  "species": ["Zr", "Os", "Os", "Zr"],
  "frac_coords": [[0.5000, 0.5000, 0.7779], [0.5000, 0.5000, 0.2606], [0.0000, 0.0000, 0.9894], [0.0000, 0.0000, 0.4721]],
  "ef_mev_per_atom": 76,
  "spacegroup": "P4/nmm, No. 129",
  "final_energy_ha_per_atom": -0.3606,
  "n_ef_per_ev_cell": 3.69
}

---

[5]
{
  "formula": "ScNiOs2",
  "functional": "GGA-PBE",
  "state": "relaxed",
  "lattice_angstrom": [[-3.7595, 2.6621, 0.9822], [1.6845, -1.9566, 3.9395], [1.6803, 2.2295, 0.3888]],
  "species": ["Os", "Os", "Ni", "Sc"],
  "frac_coords": [[0.0000, 0.0000, 0.0000], [0.5000, 0.5000, 0.0000], [0.0000, 0.5000, 0.5000], [0.5000, 0.0000, 0.5000]],
  "de_polymorph_mev_per_atom": 177,
  "ef_mev_per_atom": 90,
  "spacegroup": "Cmmm, No. 65",
  "final_energy_ha_per_atom": -0.3143,
  "n_ef_per_ev_cell": 3.23
}

---

[6]
{
  "formula": "Pm2Al3Sn",
  "functional": "GGA-PBE",
  "state": "relaxed",
  "lattice_angstrom": [[4.1824, 0.0000, 0.0000], [0.0000, 4.4686, 0.0000], [0.0000, 0.0000, 7.7810]],
  "species": ["Pm", "Pm", "Sn", "Al", "Al", "Al"],
  "frac_coords": [[0.0000, 0.5000, 0.9963], [0.0000, 0.0000, 0.5048], [0.5000, 0.5000, 0.3368], [0.5000, 0.5000, 0.6774], [0.5000, 0.0000, 0.1543], [0.5000, 0.0000, 0.8304]],
  "ef_mev_per_atom": -516,
  "spacegroup": "Pmm2, No. 25",
  "final_energy_ha_per_atom": -0.1704,
  "n_ef_per_ev_cell": 2.92
}

---

[7]
{
  "formula": "Nb12Sn3Au",
  "functional": "GGA-PBE",
  "state": "relaxed",
  "lattice_angstrom": [[5.3143, 0.0000, 0.0000], [0.0000, 5.3056, 0.0000], [0.0000, 0.0000, 10.6059]],
  "species": ["Nb", "Nb", "Nb", "Nb", "Nb", "Sn", "Nb", "Nb", "Sn", "Nb", "Au", "Nb", "Nb", "Nb", "Sn", "Nb"],
  "frac_coords": [[0.0000, 0.7494, 0.7471], [0.0000, 0.2506, 0.7471], [0.7550, 0.5000, 0.5000], [0.5000, 0.0000, 0.8711], [0.2522, 0.5000, 0.0000], [0.0000, 0.0000, 0.0000], [0.5000, 0.0000, 0.6204], [0.0000, 0.7494, 0.2529], [0.5000, 0.5000, 0.7510], [0.7478, 0.5000, 0.0000], [0.0000, 0.0000, 0.5000], [0.5000, 0.0000, 0.1289], [0.2450, 0.5000, 0.5000], [0.0000, 0.2506, 0.2529], [0.5000, 0.5000, 0.2490], [0.5000, 0.0000, 0.3796]],
  "ef_mev_per_atom": -158,
  "spacegroup": "Pmmm, No. 47",
  "final_energy_ha_per_atom": -0.3185,
  "n_ef_per_ev_cell": 23.86
}

---

[8]
{
  "formula": "ZnBP2H",
  "functional": "GGA-PBE",
  "state": "relaxed",
  "lattice_angstrom": [[4.7800, 0.0000, 0.0000], [0.0000, 2.6113, 0.0000], [0.0000, 0.0000, 4.7800]],
  "species": ["Zn", "P", "H", "P", "B"],
  "frac_coords": [[0.5000, 0.5000, 0.5000], [0.0000, 0.0000, 0.5000], [0.0000, 0.0000, 0.0000], [0.5000, 0.0000, 0.0000], [0.0000, 0.5000, 0.0000]],
  "spacegroup": "P4/mmm, No. 123",
  "final_energy_ha_per_atom": -0.1269,
  "n_ef_per_ev_cell": 1.55
}

---

[9]
{
  "formula": "Mn6HN2",
  "functional": "GGA-PBE",
  "state": "relaxed",
  "lattice_angstrom": [[-3.2051, -2.6316, -1.4815], [2.5974, -3.7480, 1.0386], [-2.9281, 1.7719, 3.1873]],
  "species": ["Mn", "Mn", "Mn", "N", "Mn", "H", "Mn", "Mn", "N"],
  "frac_coords": [[0.7586, 0.6650, 0.6650], [0.2414, 0.3350, 0.3350], [0.7586, 0.0000, 0.3350], [0.5000, 0.6667, 0.3333], [0.7586, 0.3350, 0.0000], [0.0000, 0.0000, 0.0000], [0.2414, 0.6650, 0.0000], [0.2414, 0.0000, 0.6650], [0.5000, 0.3333, 0.6667]],
  "spacegroup": "P-31m, No. 162",
  "final_energy_ha_per_atom": -0.3103,
  "n_ef_per_ev_cell": 10.76
}